Computed, not measured: a geometry-optimized NaMoCl3 structure at the GGA-PBE level of DFT.

Geometry as POSCAR:
```
NaMoCl3
1.0
5.1291 0.0000 0.0000
0.0000 5.1291 0.0000
0.0000 0.0000 5.1291
Mo Cl Na
1 3 1
direct
0.0000 0.0000 0.0000
0.0000 0.5000 0.0000
0.5000 0.0000 0.0000
0.0000 0.0000 0.5000
0.5000 0.5000 0.5000
```

Calculated values
Crystal system = cubic
Formation energy from raw total energies = -739 meV/atom
Magnetic moment = 3.94 μB per cell
Space group = Pm-3m (221)